Compound: Tm3CdRh4
Source: Alexandria via LeMat-Bulk
Functional: PBE
Structure: optimized geometry

Lattice parameters (Å, degrees): 4.7198 4.7198 23.0138 90.00 90.00 120.00
Last column: nearest neighbours and their distance in Å.
Space group R-3m (No. 166, hexagonal axes)
Inequivalent atoms, fractional coordinates:
Tm (0.0000, 0.0000, 0.0000) (multiplicity 3)  8 Rh 2.81-2.88
Tm (0.0000, 0.0000, 0.2444) (multiplicity 6)  8 Rh 2.81-2.99
Cd (0.0000, 0.0000, 0.5000) (multiplicity 3)  8 Rh 2.89-2.91
Rh (0.0000, 0.0000, 0.1221) (multiplicity 6)  5 Tm 2.81-2.83, 3 Cd 2.91
Rh (0.0000, 0.0000, 0.3743) (multiplicity 6)  7 Tm 2.88-2.99, 1 Cd 2.89

Summary:
DOS(E_F)	3.22	states/eV/f.u.
mass density	11.57	g/cm³
formation enthalpy at 0 K	-0.83	eV/atom